This record from the Alexandria database describes a PBEsol-optimized structure of TlTeO2F. The functional is SCAN.

The calculation puts the uncorrected formation energy at -1.102 eV per formula unit. For the density of states at the Fermi level, the calculation gives 2.776 states/eV/cell.

It has space group P4/mmm (No. 123), with a = 4.325 Å, b = 4.325 Å, c = 4.289 Å, α = 90.00°, β = 90.00° and γ = 90.00°. The inequivalent atoms are Tl at (0.000, 0.000, 0.000), Te at (0.500, 0.500, 0.500), O at (0.000, 0.500, 0.000) and F at (0.000, 0.000, 0.500).


This record from the Alexandria database describes a PBEsol-optimized structure of TeWO2F. The functional is SCAN.

The calculation puts the uncorrected formation energy at 2.594 eV per formula unit. For the density of states at the Fermi level, the calculation gives 2.849 states/eV/cell.

It has space group P4/mmm (No. 123), with a = 4.221 Å, b = 4.221 Å, c = 4.355 Å, α = 90.00°, β = 90.00° and γ = 90.00°. The inequivalent atoms are Te at (0.000, 0.000, 0.000), W at (0.500, 0.500, 0.500), O at (0.000, 0.500, 0.000) and F at (0.000, 0.000, 0.500).


This record from the Alexandria database describes a PBEsol-optimized structure of TiOF. The functional is SCAN.

The calculation puts the uncorrected formation energy at -9.736 eV per formula unit. For the density of states at the Fermi level, the calculation gives 3.068 states/eV/cell.

It has space group Pmmn (No. 59, origin choice 2), with a = 3.017 Å, b = 3.976 Å, c = 5.888 Å, α = 90.00°, β = 90.00° and γ = 90.00°. The inequivalent atoms are Ti at (0.250, 0.250, 0.122), O at (0.250, 0.750, 0.114) and F at (0.250, 0.750, 0.657).


This record from the Alexandria database describes a PBEsol-optimized structure of TiOF. The functional is SCAN.

The calculation puts the uncorrected formation energy at -10.015 eV per formula unit. For the density of states at the Fermi level, the calculation gives 3.778 states/eV/cell.

It has space group P2_1/c (No. 14), with a = 5.022 Å, b = 4.840 Å, c = 5.204 Å, α = 90.00°, β = 102.84° and γ = 90.00°. The inequivalent atoms are Ti at (0.186, 0.042, 0.291), O at (0.061, 0.749, 0.514) and F at (0.449, 0.200, 0.632).


This record from the Alexandria database describes a PBEsol-optimized structure of TiOF. The functional is SCAN.

The calculation puts the uncorrected formation energy at -10.059 eV per formula unit. For the density of states at the Fermi level, the calculation gives 1.189 states/eV/cell.

It has space group P4/mmm (No. 123), with a = 2.849 Å, b = 2.849 Å, c = 3.922 Å, α = 90.00°, β = 90.00° and γ = 90.00°. The inequivalent atoms are Ti at (0.000, 0.000, 0.000), O at (0.500, 0.500, 0.000) and F at (0.000, 0.000, 0.500).


This record from the Alexandria database describes a PBEsol-optimized structure of TiTlO2F. The functional is SCAN.

The calculation puts the uncorrected formation energy at -3.928 eV per formula unit. For the density of states at the Fermi level, the calculation gives 0.394 states/eV/cell.

It has space group P4/mmm (No. 123), with a = 4.275 Å, b = 4.275 Å, c = 4.249 Å, α = 90.00°, β = 90.00° and γ = 90.00°. The inequivalent atoms are Ti at (0.000, 0.000, 0.000), Tl at (0.500, 0.500, 0.500), O at (0.000, 0.500, 0.500) and F at (0.500, 0.500, 0.000).


This record from the Alexandria database describes a PBEsol-optimized structure of TiTlWO5F. The functional is SCAN.

The calculation puts the uncorrected formation energy at -22.628 eV per formula unit. For the density of states at the Fermi level, the calculation gives 0.000 states/eV/cell.

It has space group Ima2 (No. 46), with a = 7.270 Å, b = 10.131 Å, c = 7.409 Å, α = 90.00°, β = 90.00° and γ = 90.00°. The inequivalent atoms are Ti at (0.250, 0.234, 0.000), Tl at (0.250, 0.649, 0.625), W at (0.000, 0.000, 0.734), O at (0.065, 0.121, 0.940), O at (0.067, 0.128, 0.575), O at (0.250, 0.566, 0.255) and F at (0.250, 0.181, 0.259).


This record from the Alexandria database describes a PBEsol-optimized structure of TiZnOF2. The functional is SCAN.

The calculation puts the uncorrected formation energy at -11.553 eV per formula unit. For the density of states at the Fermi level, the calculation gives 2.175 states/eV/cell.

It has space group P4/mmm (No. 123), with a = 4.059 Å, b = 4.059 Å, c = 3.782 Å, α = 90.00°, β = 90.00° and γ = 90.00°. The inequivalent atoms are Ti at (0.000, 0.000, 0.000), Zn at (0.500, 0.500, 0.500), O at (0.000, 0.000, 0.500) and F at (0.000, 0.500, 0.000).